# GGA-PBE Na3Sr5Ca, relaxed
# * D(E_F): 34.906 states/eV per cell
# * VASP energy: -1.379 eV per atom
# * formation energy from the elements: 0.218 eV per atom
data_Na3Sr5Ca
_chemical_formula_sum 'Na12 Sr20 Ca4'
_cell_length_a 13.213
_cell_length_b 10.548
_cell_length_c 13.866
_cell_angle_alpha 90.00
_cell_angle_beta 99.94
_cell_angle_gamma 90.00
_symmetry_space_group_name_H-M 'C 1 2/m 1'
_symmetry_Int_Tables_number 12
loop_
_symmetry_equiv_pos_as_xyz
'x,y,z'
'-x,-y,-z'
'-x,y,-z'
'x,-y,z'
'x+1/2,y+1/2,z'
'-x+1/2,-y+1/2,-z'
'-x+1/2,y+1/2,-z'
'x+1/2,-y+1/2,z'
loop_
_atom_site_label
_atom_site_fract_x
_atom_site_fract_y
_atom_site_fract_z
_atom_site_occupancy
Na1 0.000 0.000 0.000 1
Na2 0.000 0.000 0.500 1
Na3 0.245 0.500 0.047 1
Na4 0.248 0.000 0.370 1
Sr1 0.000 0.312 0.500 1
Sr2 0.033 0.500 0.823 1
Sr3 0.195 0.214 0.157 1
Sr4 0.232 0.500 0.372 1
Ca1 0.033 0.000 0.754 1



# GGA-PBE In2AgSe, relaxed
# * D(E_F): 2.244 states/eV per cell
# * VASP energy: -3.032 eV per atom
# * formation energy (no corrections): -79 meV per atom
data_In2AgSe
_chemical_formula_sum 'In4 Ag2 Se2'
_cell_length_a 3.699
_cell_length_b 3.762
_cell_length_c 14.702
_cell_angle_alpha 90.00
_cell_angle_beta 90.00
_cell_angle_gamma 90.00
_symmetry_space_group_name_H-M 'I m m 2'
_symmetry_Int_Tables_number 44
loop_
_symmetry_equiv_pos_as_xyz
'x,y,z'
'-x,-y,z'
'-x,y,z'
'x,-y,z'
'x+1/2,y+1/2,z+1/2'
'-x+1/2,-y+1/2,z+1/2'
'-x+1/2,y+1/2,z+1/2'
'x+1/2,-y+1/2,z+1/2'
loop_
_atom_site_label
_atom_site_fract_x
_atom_site_fract_y
_atom_site_fract_z
_atom_site_occupancy
In1 0.000 0.000 0.000 1
In2 0.000 0.500 0.319 1
Ag1 0.000 0.000 0.592 1
Se1 0.000 0.500 0.732 1



# GGA-PBE MgInTc, relaxed
# * D(E_F): 5.241 states/eV per cell
# * VASP energy: -4.646 eV per atom
# * formation energy from the elements: 0.253 eV per atom
# * energy above the most stable polymorph in this dataset: 18 meV per atom
data_MgInTc
_chemical_formula_sum 'Mg2 In2 Tc2'
_cell_length_a 3.387
_cell_length_b 3.387
_cell_length_c 9.470
_cell_angle_alpha 90.00
_cell_angle_beta 90.00
_cell_angle_gamma 90.00
_symmetry_space_group_name_H-M 'I 4 m m'
_symmetry_Int_Tables_number 107
_symmetry_space_group_name_Hall 'I 4 -2'
loop_
_atom_site_label
_atom_site_fract_x
_atom_site_fract_y
_atom_site_fract_z
_atom_site_occupancy
Mg1 0.000 0.000 0.000 1
In1 0.000 0.000 0.308 1
Tc1 0.000 0.000 0.651 1



# GGA-PBE Nd2SnPb, relaxed
# * D(E_F): 4.067 states/eV per cell
# * VASP energy: -4.901 eV per atom
# * formation energy from the elements: -0.589 eV per atom
# * energy above the most stable polymorph in this dataset: 83 meV per atom
data_Nd2SnPb
_chemical_formula_sum 'Nd2 Sn1 Pb1'
_cell_length_a 5.073
_cell_length_b 5.073
_cell_length_c 4.573
_cell_angle_alpha 90.00
_cell_angle_beta 90.00
_cell_angle_gamma 90.00
_symmetry_space_group_name_H-M 'P 4/m m m'
_symmetry_Int_Tables_number 123
_symmetry_space_group_name_Hall '-P 4 2'
loop_
_atom_site_label
_atom_site_fract_x
_atom_site_fract_y
_atom_site_fract_z
_atom_site_occupancy
Nd1 0.000 0.500 0.000 1
Sn1 0.000 0.000 0.500 1
Pb1 0.500 0.500 0.500 1



# GGA-PBE La4Ag2Pd, relaxed
# * D(E_F): 29.487 states/eV per cell
# * VASP energy: -4.636 eV per atom
# * formation energy from the elements: -0.263 eV per atom
data_La4Ag2Pd
_chemical_formula_sum 'La12 Ag6 Pd3'
_cell_length_a 5.3189
_cell_length_b 5.3189
_cell_length_c 25.8427
_cell_angle_alpha 90.00
_cell_angle_beta 90.00
_cell_angle_gamma 120.00
_symmetry_space_group_name_H-M 'R -3 m'
_symmetry_Int_Tables_number 166
_symmetry_space_group_name_Hall '-R 3 2"'
loop_
_atom_site_label
_atom_site_fract_x
_atom_site_fract_y
_atom_site_fract_z
_atom_site_occupancy
La1 0.0000 0.0000 0.1211 1
La2 0.0000 0.0000 0.3721 1
Ag1 0.0000 0.0000 0.2446 1
Pd1 0.0000 0.0000 0.0000 1



# GGA-PBE LuTaPt2, relaxed
# * D(E_F): 3.361 states/eV per cell
# * VASP energy: -7.909 eV per atom
# * formation energy from the elements: -0.795 eV per atom
data_LuTaPt2
_chemical_formula_sum 'Lu1 Ta1 Pt2'
_cell_length_a 3.134
_cell_length_b 3.134
_cell_length_c 7.455
_cell_angle_alpha 90.00
_cell_angle_beta 90.00
_cell_angle_gamma 90.00
_symmetry_space_group_name_H-M 'P 4/m m m'
_symmetry_Int_Tables_number 123
_symmetry_space_group_name_Hall '-P 4 2'
loop_
_atom_site_label
_atom_site_fract_x
_atom_site_fract_y
_atom_site_fract_z
_atom_site_occupancy
Lu1 0.000 0.000 0.000 1
Ta1 0.000 0.000 0.500 1
Pt1 0.500 0.500 0.270 1



# GGA-PBE LaTb5Zn6, relaxed
# * D(E_F): 13.740 states/eV per cell
# * VASP energy: -3.303 eV per atom
# * formation energy from the elements: -0.326 eV per atom
data_LaTb5Zn6
_chemical_formula_sum 'La1 Tb5 Zn6'
_cell_length_a 5.098
_cell_length_b 7.237
_cell_length_c 8.072
_cell_angle_alpha 90.00
_cell_angle_beta 108.28
_cell_angle_gamma 90.00
_symmetry_space_group_name_H-M 'P 1 2/m 1'
_symmetry_Int_Tables_number 10
loop_
_symmetry_equiv_pos_as_xyz
'x,y,z'
'-x,-y,-z'
'-x,y,-z'
'x,-y,z'
loop_
_atom_site_label
_atom_site_fract_x
_atom_site_fract_y
_atom_site_fract_z
_atom_site_occupancy
La1 0.000 0.000 0.000 1
Tb1 0.000 0.500 0.000 1
Tb2 0.332 0.000 0.664 1
Tb3 0.336 0.500 0.671 1
Zn1 0.171 0.258 0.342 1
Zn2 0.500 0.259 0.000 1



# GGA-PBE FeSiSN2, relaxed
# * D(E_F): 3.977 states/eV per cell
# * VASP energy: -6.435 eV per atom
# * formation energy (no corrections): 497 meV per atom
# * energy above the most stable polymorph in this dataset: 0 meV per atom
data_FeSiSN2
_chemical_formula_sum 'Fe1 Si1 S1 N2'
_cell_length_a 3.381
_cell_length_b 3.381
_cell_length_c 6.269
_cell_angle_alpha 90.00
_cell_angle_beta 90.00
_cell_angle_gamma 90.00
_symmetry_space_group_name_H-M 'P 4/m m m'
_symmetry_Int_Tables_number 123
_symmetry_space_group_name_Hall '-P 4 2'
loop_
_atom_site_label
_atom_site_fract_x
_atom_site_fract_y
_atom_site_fract_z
_atom_site_occupancy
Fe1 0.000 0.000 0.000 1
Si1 0.500 0.500 0.500 1
S1 0.500 0.500 0.000 1
N1 0.000 0.500 0.500 1



# GGA-PBE Mn2Nb2Ru, relaxed
# * D(E_F): 13.040 states/eV per cell
# * VASP energy: -9.467 eV per atom
# * formation energy from the elements: 0.084 eV per atom
data_Mn2Nb2Ru
_chemical_formula_sum 'Mn4 Nb4 Ru2'
_cell_length_a 6.699
_cell_length_b 6.699
_cell_length_c 3.287
_cell_angle_alpha 90.00
_cell_angle_beta 90.00
_cell_angle_gamma 90.00
_symmetry_space_group_name_H-M 'P 4/m b m'
_symmetry_Int_Tables_number 127
_symmetry_space_group_name_Hall '-P 4 2ab'
loop_
_atom_site_label
_atom_site_fract_x
_atom_site_fract_y
_atom_site_fract_z
_atom_site_occupancy
Mn1 0.108 0.392 0.000 1
Nb1 0.192 0.692 0.500 1
Ru1 0.000 0.000 0.000 1



# GGA-PBE TlSb2Cl, relaxed
# * D(E_F): 2.586 states/eV per cell
# * VASP energy: -3.287 eV per atom
# * formation energy (no corrections): -173 meV per atom
# * energy above the most stable polymorph in this dataset: 231 meV per atom
data_TlSb2Cl
_chemical_formula_sum 'Tl1 Sb2 Cl1'
_cell_length_a 4.229
_cell_length_b 4.331
_cell_length_c 7.411
_cell_angle_alpha 90.00
_cell_angle_beta 90.49
_cell_angle_gamma 90.00
_symmetry_space_group_name_H-M 'P 1 2/m 1'
_symmetry_Int_Tables_number 10
loop_
_symmetry_equiv_pos_as_xyz
'x,y,z'
'-x,-y,-z'
'-x,y,-z'
'x,-y,z'
loop_
_atom_site_label
_atom_site_fract_x
_atom_site_fract_y
_atom_site_fract_z
_atom_site_occupancy
Tl1 0.000 0.000 0.000 1
Sb1 0.000 0.500 0.500 1
Sb2 0.500 0.000 0.500 1
Cl1 0.500 0.500 0.000 1



# GGA-PBE Fe2HCl, relaxed
# * D(E_F): 10.164 states/eV per cell
# * VASP energy: -4.585 eV per atom
# * energy above the most stable polymorph in this dataset: 755 meV per atom
data_Fe2HCl
_chemical_formula_sum 'Fe8 H4 Cl4'
_cell_length_a 5.280
_cell_length_b 5.280
_cell_length_c 5.280
_cell_angle_alpha 90.00
_cell_angle_beta 90.00
_cell_angle_gamma 90.00
_symmetry_space_group_name_H-M 'F m -3 m'
_symmetry_Int_Tables_number 225
_symmetry_space_group_name_Hall '-F 4 2 3'
loop_
_atom_site_label
_atom_site_fract_x
_atom_site_fract_y
_atom_site_fract_z
_atom_site_occupancy
Fe1 0.250 0.250 0.250 1
H1 0.000 0.000 0.000 1
Cl1 0.000 0.000 0.500 1



# GGA-PBE AcSi2Tc2P, relaxed
# * D(E_F): 5.447 states/eV per cell
# * VASP energy: -7.234 eV per atom
# * formation energy (no corrections): -385 meV per atom
data_AcSi2Tc2P
_chemical_formula_sum 'Ac1 Si2 Tc2 P1'
_cell_length_a 4.460
_cell_length_b 4.460
_cell_length_c 5.716
_cell_angle_alpha 90.00
_cell_angle_beta 90.00
_cell_angle_gamma 90.00
_symmetry_space_group_name_H-M 'P 4/m m m'
_symmetry_Int_Tables_number 123
_symmetry_space_group_name_Hall '-P 4 2'
loop_
_atom_site_label
_atom_site_fract_x
_atom_site_fract_y
_atom_site_fract_z
_atom_site_occupancy
Ac1 0.000 0.000 0.000 1
Si1 0.500 0.500 0.229 1
Tc1 0.000 0.500 0.500 1
P1 0.000 0.000 0.500 1